Here is an optimized crystal structure of U2PaH8 from the Alexandria database. Energies are from PBE.

a b c (Å): 3.5090 5.8005 6.2245
angles (deg): 117.77 106.37 90.00
Last column: nearest neighbours and their distance in Å.
Sites, in units of the cell vectors:
H 0.6612 0.4207 0.3224  3 U 2.24-2.30, 1 Pa 2.26, 5 H 2.31-2.43
H 0.3388 0.5793 0.6776  3 U 2.24-2.30, 1 Pa 2.26, 5 H 2.31-2.43
H 0.6612 0.9016 0.3224  3 U 2.24-2.30, 1 Pa 2.26, 5 H 2.31-2.43
H 0.0000 0.2647 0.0000  2 U 2.26, 6 H 2.29-2.43, 2 Pa 2.33
H 0.3388 0.0984 0.6776  3 U 2.24-2.30, 1 Pa 2.26, 5 H 2.31-2.43
H 0.1623 0.1623 0.3246  8 H 2.29-2.31, 2 Pa 2.44, 2 U 2.46
H 0.0000 0.7353 0.0000  2 U 2.26, 6 H 2.29-2.43, 2 Pa 2.33
H 0.8377 0.8377 0.6754  8 H 2.29-2.31, 2 Pa 2.44, 2 U 2.46
U 0.1725 0.6725 0.3450  10 H 2.24-2.46
U 0.8275 0.3275 0.6550  10 H 2.24-2.46
Pa 0.5000 0.0000 0.0000  12 H 2.26-2.44

Calculated values
N(E_F) in states/eV per cell: 9.497
Calculated total energy in eV per atom: -5.603